1.
SrMo2Br (SCAN, PBEsol geometry); space group = Immm; Fermi-level density of states = 3.42 states/eV/f.u.; uncorrected formation energy = 0.698 eV per atom; M_tot = 0.0 μB per cell
1.0
-1.580 2.264 5.733
1.580 -2.264 5.733
1.580 2.264 -5.733
Sr Mo Br
1 2 1
Cartesian
0.000 0.000 0.000
1.580 0.000 3.045
0.000 2.264 2.688
0.000 0.000 5.733


2.
MgIr2Au (SCAN, PBEsol geometry); space group = R3m; ΔH_f (0 K) = -3.6 kJ per mole of atoms; Fermi-level density of states = 2.22 states/eV/f.u.; M_tot = 0.0 μB per cell
1.0
1.398 0.807 9.005
-1.398 0.807 9.005
0.000 -1.615 9.005
Mg Ir Au
1 2 1
Cartesian
0.000 0.000 0.000
0.000 0.000 13.327
0.000 0.000 20.214
0.000 0.000 6.700


3.
CaRe (SCAN, PBEsol geometry); space group = P-3m1; ΔH_f (0 K) = 79.7 kJ per mole of atoms; Fermi-level density of states = 1.52 states/eV/f.u.; M_tot = 0.0 μB per cell
1.0
3.043 0.000 0.000
-1.521 2.635 0.000
0.000 0.000 10.284
Ca Re
2 2
Cartesian
0.000 1.757 1.688
1.521 0.878 8.596
0.000 1.757 6.082
1.521 0.878 4.202


4.
Tl2SnHgSe4 (SCAN, PBEsol geometry); space group = I-42m; uncorrected formation energy = -0.366 eV per atom; M_tot = 0.0 μB per cell
1.0
-3.968 3.968 3.425
3.968 -3.968 3.425
3.968 3.968 -3.425
Tl Sn Hg Se
2 1 1 4
Cartesian
3.968 0.000 0.000
0.000 3.968 0.000
0.000 0.000 0.000
0.000 0.000 3.425
1.417 -1.417 1.602
-1.417 1.417 1.602
2.551 2.551 1.823
1.417 1.417 5.248


5.
MgTa2Si (SCAN, PBEsol geometry); space group = Pmmm; Fermi-level density of states = 1.88 states/eV/f.u.; uncorrected formation energy = 0.089 eV per atom; M_tot = 0.0 μB per cell
1.0
2.842 0.000 0.000
0.000 4.084 0.000
0.000 0.000 5.666
Mg Ta Si
1 2 1
Cartesian
0.000 0.000 0.000
1.421 2.042 1.479
1.421 2.042 4.186
0.000 0.000 2.833


6.
LiCaAl2 (SCAN, PBEsol geometry); space group = P4/mmm; ΔH_f (0 K) = -13.9 kJ per mole of atoms; Fermi-level density of states = 1.77 states/eV/f.u.; M_tot = 0.0 μB per cell
1.0
3.261 0.000 0.000
0.000 3.261 0.000
0.000 0.000 7.373
Li Ca Al
1 1 2
Cartesian
0.000 0.000 0.000
0.000 0.000 3.686
1.630 1.630 1.449
1.630 1.630 5.924


7.
RbTl3Tc (SCAN, PBEsol geometry); space group = Pm-3m; ΔH_f (0 K) = 164.4 kJ per mole of atoms; Fermi-level density of states = 4.22 states/eV/f.u.; M_tot = 3.2 μB per cell
1.0
5.890 0.000 0.000
0.000 5.890 0.000
0.000 0.000 5.890
Rb Tl Tc
1 3 1
Cartesian
0.000 0.000 0.000
0.000 0.000 2.945
0.000 2.945 0.000
2.945 0.000 0.000
2.945 2.945 2.945


8.
KOsPt2Au (SCAN, PBEsol geometry); space group = P4/mmm; ΔH_f (0 K) = 126.0 kJ per mole of atoms; Fermi-level density of states = 5.20 states/eV/f.u.; M_tot = 0.0 μB per cell
1.0
4.725 0.000 0.000
0.000 4.725 0.000
0.000 0.000 5.651
K Os Pt Au
1 1 2 1
Cartesian
0.000 0.000 0.000
0.000 0.000 2.826
0.000 2.362 2.826
2.362 0.000 2.826
2.362 2.362 0.000


9.
Ag6Pt5 (SCAN, PBEsol geometry); space group = C2/m; ΔH_f (0 K) = 4.4 kJ per mole of atoms; Fermi-level density of states = 7.53 states/eV/f.u.; M_tot = 0.0 μB per cell
1.0
4.426 -2.001 0.000
4.426 2.001 0.000
-2.617 0.000 9.746
Ag Pt
6 5
Cartesian
0.420 0.000 1.356
1.315 0.000 4.000
3.074 0.000 0.449
3.160 0.000 9.297
4.920 0.000 5.746
5.814 0.000 8.390
-1.309 0.000 4.873
-0.379 0.000 7.464
2.309 0.000 6.641
3.926 0.000 3.105
6.614 0.000 2.282


10.
Mg7NbH16 (SCAN, PBEsol geometry); space group = Fm-3m; electronic total energy = -128.391 eV/f.u.; Fermi-level density of states = 2.68 states/eV/f.u.; M_tot = 0.9 μB per cell
1.0
0.000 4.659 4.659
4.659 0.000 4.659
4.659 4.659 0.000
Mg Nb H
7 1 16
Cartesian
0.000 0.000 0.000
2.329 2.329 0.000
2.329 0.000 2.329
4.659 2.329 2.329
0.000 2.329 2.329
2.329 4.659 2.329
2.329 2.329 4.659
4.659 4.659 4.659
1.188 1.188 1.188
3.471 3.471 1.188
3.471 1.188 3.471
5.773 3.545 3.545
3.545 3.545 3.545
5.773 5.773 3.545
5.773 3.545 5.773
8.130 5.847 5.847
1.188 3.471 3.471
3.545 5.773 3.545
3.545 3.545 5.773
5.773 5.773 5.773
3.545 5.773 5.773
5.847 8.130 5.847
5.847 5.847 8.130
8.130 8.130 8.130


11.
Sb2OsRu (SCAN, PBEsol geometry); space group = P4mm; Fermi-level density of states = 2.40 states/eV/f.u.; uncorrected formation energy = 0.289 eV per atom; M_tot = 0.0 μB per cell
1.0
3.024 0.000 0.000
0.000 3.024 0.000
0.000 0.000 8.492
Sb Os Ru
2 1 1
Cartesian
0.000 0.000 0.000
1.512 1.512 3.311
0.000 0.000 5.044
1.512 1.512 6.774


12.
Ba2ScW (SCAN, PBEsol geometry); space group = R3m; ΔH_f (0 K) = 99.7 kJ per mole of atoms; Fermi-level density of states = 4.40 states/eV/f.u.; M_tot = 1.4 μB per cell
1.0
1.722 0.994 11.575
-1.722 0.994 11.575
0.000 -1.988 11.575
Ba Sc W
2 1 1
Cartesian
0.000 0.000 0.000
0.000 0.000 7.747
0.000 0.000 16.077
0.000 0.000 25.705


13.
Sc2CdCu (SCAN, PBEsol geometry); space group = P4mm; ΔH_f (0 K) = -19.4 kJ per mole of atoms; Fermi-level density of states = 1.21 states/eV/f.u.; M_tot = 1.5 μB per cell
1.0
3.394 0.000 0.000
0.000 3.394 0.000
0.000 0.000 6.612
Sc Cd Cu
2 1 1
Cartesian
0.000 0.000 0.000
1.697 1.697 2.011
0.000 0.000 3.726
1.697 1.697 5.195


14.
Sn7Ru3 (SCAN, PBEsol geometry); space group = Im-3m; ΔH_f (0 K) = -17.3 kJ per mole of atoms; Fermi-level density of states = 5.00 states/eV/f.u.; M_tot = 0.0 μB per cell
1.0
-4.663 4.663 4.663
4.663 -4.663 4.663
4.663 4.663 -4.663
Sn Ru
14 6
Cartesian
1.502 1.502 -1.502
3.161 3.161 -3.161
1.502 -1.502 1.502
3.161 -3.161 3.161
4.663 2.332 0.000
4.663 0.000 2.332
-1.502 1.502 1.502
1.502 1.502 1.502
2.332 4.663 0.000
2.332 0.000 4.663
-3.161 3.161 3.161
3.161 3.161 3.161
0.000 4.663 2.332
0.000 2.332 4.663
3.220 0.000 0.000
6.107 0.000 0.000
0.000 3.220 0.000
0.000 0.000 3.220
0.000 6.107 0.000
0.000 0.000 6.107


15.
Ca2Al2P (SCAN, PBEsol geometry); space group = P4/mbm; ΔH_f (0 K) = -26.7 kJ per mole of atoms; Fermi-level density of states = 2.73 states/eV/f.u.; M_tot = 0.0 μB per cell
1.0
6.843 0.000 0.000
0.000 6.843 0.000
0.000 0.000 4.784
Ca Al P
4 4 2
Cartesian
1.165 2.257 0.000
2.257 5.678 0.000
4.586 1.165 0.000
5.678 4.586 0.000
0.930 4.351 2.392
2.491 0.930 2.392
4.351 5.913 2.392
5.913 2.491 2.392
0.000 0.000 2.392
3.421 3.421 2.392


16.
TiTeP2Cl (SCAN, PBEsol geometry); space group = P4/mmm; Fermi-level density of states = 2.49 states/eV/f.u.; uncorrected formation energy = 0.837 eV per atom; M_tot = 2.0 μB per cell
1.0
5.032 0.000 0.000
0.000 5.032 0.000
0.000 0.000 4.927
Ti Te P Cl
1 1 2 1
Cartesian
0.000 0.000 0.000
2.516 2.516 2.463
0.000 2.516 2.463
2.516 0.000 2.463
2.516 2.516 0.000


17.
HfCrRe3 (SCAN, PBEsol geometry); space group = Pm-3m; ΔH_f (0 K) = 92.5 kJ per mole of atoms; Fermi-level density of states = 2.34 states/eV/f.u.; M_tot = 0.0 μB per cell
1.0
4.410 0.000 0.000
0.000 4.410 0.000
0.000 0.000 4.410
Hf Cr Re
1 1 3
Cartesian
0.000 0.000 0.000
2.205 2.205 2.205
0.000 2.205 2.205
2.205 0.000 2.205
2.205 2.205 0.000


18.
SnW3C (SCAN, PBEsol geometry); space group = Pm-3m; ΔH_f (0 K) = 432.3 kJ per mole of atoms; Fermi-level density of states = 7.40 states/eV/f.u.; M_tot = 0.0 μB per cell
1.0
4.840 0.000 0.000
0.000 4.840 0.000
0.000 0.000 4.840
Sn W C
1 3 1
Cartesian
0.000 0.000 0.000
0.000 0.000 2.420
0.000 2.420 0.000
2.420 0.000 0.000
2.420 2.420 2.420


19.
YTcIr (SCAN, PBEsol geometry); space group = F-43m; ΔH_f (0 K) = 89.8 kJ per mole of atoms; Fermi-level density of states = 1.84 states/eV/f.u.; M_tot = 2.9 μB per cell
1.0
0.000 3.133 3.133
3.133 0.000 3.133
3.133 3.133 0.000
Y Tc Ir
1 1 1
Cartesian
0.000 0.000 0.000
4.700 4.700 4.700
1.567 1.567 1.567


20.
Cu2IrBr (SCAN, PBEsol geometry); space group = P4mm; Fermi-level density of states = 4.00 states/eV/f.u.; uncorrected formation energy = 0.658 eV per atom; M_tot = 0.0 μB per cell
1.0
3.048 0.000 0.000
0.000 3.048 0.000
0.000 0.000 6.315
Cu Ir Br
2 1 1
Cartesian
0.000 0.000 0.000
1.524 1.524 1.290
0.000 0.000 2.607
1.524 1.524 4.543